The following is a GGA-PBE calculation of Hf3ZnGa4 after structural relaxation, from Alexandria.

a = 9.0502 Å, b = 5.6066 Å, c = 5.6400 Å
α = 90.00°, β = 90.00°, γ = 90.00°
Element x y z (fractional)
Hf1 0.0000 0.0995 0.0000
Hf2 0.2246 0.6669 0.7644
Hf3 0.2754 0.3331 0.2644
Hf4 0.5000 0.9005 0.5000
Hf5 0.7246 0.3331 0.2644
Hf6 0.7754 0.6669 0.7644
Zn1 0.0000 0.4178 0.5210
Zn2 0.5000 0.5822 0.0210
Ga1 0.0000 0.5793 0.0832
Ga2 0.0000 0.9561 0.5028
Ga3 0.2361 0.8303 0.2496
Ga4 0.2639 0.1697 0.7496
Ga5 0.5000 0.0439 0.0028
Ga6 0.5000 0.4207 0.5832
Ga7 0.7361 0.1697 0.7496
Ga8 0.7639 0.8303 0.2496

- Formation energy from the elements: -269 kJ/mol of formula units